First-principles (GGA-PBE) data for a relaxed structure of AcZnPd2, as listed in Alexandria.

spin magnetization = 0.0 Bohr magnetons per cell
calculated total energy = -4.4308 eV per atom
SG = P4/mmm, No. 123

abc: 3.473 3.473 6.861
angles: 90.00 90.00 90.00
Atoms (fractional coordinates):
Ac  0.500  0.500  0.500
Pd  0.000  0.000  0.802
Pd  0.000  0.000  0.198
Zn  0.500  0.500  0.000